An optimized crystal structure of LiIn2Te2. Source: the Alexandria database, functional GGA-PBE.

- energy above the lowest structure with this stoichiometry (meV/atom) = 109
- final energy (eV per cell) = -29.437
- magnetization (μB per atom) = 0.00
- calculated volume (Å³ per atom) = 29.2
- energy relative to the elements, uncorrected (eV per atom) = -0.21

a = 8.3667 Å, b = 8.3667 Å, c = 4.1734 Å
α = 90.00°, β = 90.00°, γ = 90.00°
With the nearest neighbours (Å) after each atom.
Sites, in units of the cell vectors:
1 Te 0.1743 0.6743 0.5000  6 In 3.09-3.33
2 Te 0.6743 0.8257 0.5000  6 In 3.09-3.33
3 Te 0.8257 0.3257 0.5000  6 In 3.09-3.33
4 Te 0.3257 0.1743 0.5000  6 In 3.09-3.33
5 Li 0.0000 0.0000 0.0000  4 In 3.27
6 Li 0.5000 0.5000 0.0000  4 In 3.27
7 In 0.3671 0.8671 0.0000  6 Te 3.09-3.33, 1 In 3.14, 2 Li 3.27
8 In 0.8671 0.6329 0.0000  6 Te 3.09-3.33, 1 In 3.14, 2 Li 3.27
9 In 0.6329 0.1329 0.0000  6 Te 3.09-3.33, 1 In 3.14, 2 Li 3.27
10 In 0.1329 0.3671 0.0000  6 Te 3.09-3.33, 1 In 3.14, 2 Li 3.27